Below is a relaxed Tl5Sb2H2 crystal, with properties calculated at the PBE level.

## Properties
SG ... P1, No. 1
Spin magnetization ... 0.00 Bohr magnetons per cell
Raw total energy ... -2.777 eV per atom

Cell: 6.2194 8.2748 11.0935 Å, 68.99 76.27 89.12°
Element x y z (fractional)
Tl  0.0000  0.0000  0.0000
Tl  0.9999  0.2763  0.6604
Tl  0.3118  0.8639  0.3039
Tl  0.3159  0.7976  0.6357
Tl  0.3737  0.3343  0.3325
Tl  0.5074  0.3172  0.8768
Tl  0.5214  0.8467  0.8830
Tl  0.7863  0.5744  0.4239
Tl  0.8247  0.0373  0.4345
Tl  0.9538  0.5308  0.9665
Sb  0.1612  0.2282  0.1394
Sb  0.5007  0.1930  0.6332
Sb  0.6514  0.6835  0.1538
Sb  0.8085  0.6469  0.6913
H  0.0834  0.4385  0.4220
H  0.2247  0.7181  0.8792
H  0.5495  0.9556  0.3819
H  0.7655  0.1707  0.9210


Below is a relaxed SmP3H5NO10 crystal, with properties calculated at the PBE level.

## Properties
SG ... P-1, No. 2
Spin magnetization ... 0.00 Bohr magnetons per cell
Raw total energy ... -6.710 eV per atom

Cell: 7.0780 7.9302 8.6953 Å, 75.04 72.91 82.20°
Element x y z (fractional)
Sm  0.2278  0.1328  0.0086
Sm  0.7722  0.8672  0.9914
P  0.1469  0.5459  0.1339
P  0.3224  0.7412  0.3069
P  0.3305  0.8091  0.8420
P  0.6695  0.1909  0.1580
P  0.6776  0.2588  0.6931
P  0.8531  0.4541  0.8661
H  0.1032  0.2618  0.4567
H  0.1569  0.1048  0.6116
H  0.1932  0.3094  0.5995
H  0.3113  0.7184  0.5702
H  0.3455  0.2081  0.4530
H  0.6545  0.7919  0.5470
H  0.6887  0.2816  0.4298
H  0.8068  0.6906  0.4005
H  0.8431  0.8952  0.3884
H  0.8968  0.7382  0.5433
N  0.2002  0.2208  0.5290
N  0.7998  0.7792  0.4710
O  0.0466  0.3459  0.8405
O  0.1350  0.9256  0.8714
O  0.1432  0.3503  0.1640
O  0.1966  0.9016  0.2470
O  0.2438  0.6726  0.4998
O  0.2712  0.5746  0.2514
O  0.2825  0.6099  0.9479
O  0.4161  0.7945  0.6644
O  0.4557  0.2473  0.7503
O  0.4674  0.8748  0.9185
O  0.5326  0.1252  0.0815
O  0.5443  0.7527  0.2497
O  0.5839  0.2055  0.3356
O  0.7175  0.3901  0.0521
O  0.7288  0.4254  0.7486
O  0.7562  0.3274  0.5002
O  0.8034  0.0984  0.7530
O  0.8568  0.6497  0.8360
O  0.8650  0.0744  0.1286
O  0.9534  0.6541  0.1595